Record 1
A plane-wave DFT calculation with PBE was carried out for Ac2PmCo after structural relaxation.

a = 3.723 Å, b = 3.723 Å, c = 9.343 Å
α = 90.00°, β = 90.00°, γ = 90.00°
Atoms (fractional coordinates):
Ac 0.000 0.000 0.192
Ac 0.000 0.000 0.808
Pm 0.500 0.500 0.500
Co 0.500 0.500 0.000

Values from the calculation:
Excess energy over the best structure of this formula in the dataset = 3.938 kcal/mol of atoms
Symmetry = No. 123
Calculated formation energy = 0.60 eV/f.u.
Total moment = 1.7 μB per formula unit
Fermi-level density of states = 5.65 states/eV per cell



Record 2
A plane-wave DFT calculation with PBE was carried out for ZrAl2Co after structural relaxation.

a = 3.925 Å, b = 3.925 Å, c = 4.111 Å
α = 90.00°, β = 90.00°, γ = 90.00°
Atoms (fractional coordinates):
Zr 0.000 0.000 0.000
Al 0.000 0.500 0.500
Al 0.500 0.000 0.500
Co 0.500 0.500 0.000

Values from the calculation:
Symmetry = No. 123
Calculated formation energy = -1.52 eV/f.u.
Total moment = 0.8 μB per formula unit
Fermi-level density of states = 2.65 states/eV per cell



Record 3
A plane-wave DFT calculation with PBE was carried out for La2MgHgIr after structural relaxation.

a = 5.516 Å, b = 5.516 Å, c = 5.148 Å
α = 90.00°, β = 90.00°, γ = 90.00°
Atoms (fractional coordinates):
La 0.000 0.500 0.000
La 0.500 0.000 0.000
Mg 0.000 0.000 0.500
Hg 0.500 0.500 0.500
Ir 0.000 0.000 0.000

Values from the calculation:
Excess energy over the best structure of this formula in the dataset = 0.000 kcal/mol of atoms
Symmetry = No. 123
Calculated formation energy = -2.27 eV/f.u.
Total moment = 0.0 μB per formula unit
Fermi-level density of states = 3.53 states/eV per cell



Record 4
A plane-wave DFT calculation with PBE was carried out for Sm2EuAl after structural relaxation.

a = 3.654 Å, b = 3.654 Å, c = 9.312 Å
α = 90.00°, β = 90.00°, γ = 90.00°
Atoms (fractional coordinates):
Sm 0.000 0.000 0.199
Sm 0.000 0.000 0.801
Eu 0.500 0.500 0.500
Al 0.500 0.500 0.000

Values from the calculation:
Excess energy over the best structure of this formula in the dataset = 0.000 kcal/mol of atoms
Symmetry = No. 123
Calculated formation energy = -0.53 eV/f.u.
Total moment = 7.7 μB per formula unit
Fermi-level density of states = 4.62 states/eV per cell



Record 5
A plane-wave DFT calculation with PBE was carried out for LaCd2Rh2 after structural relaxation.

a = 7.965 Å, b = 7.965 Å, c = 3.175 Å
α = 90.00°, β = 90.00°, γ = 90.00°
Atoms (fractional coordinates):
La 0.000 0.000 0.000
La 0.500 0.500 0.000
Cd 0.122 0.378 0.000
Cd 0.378 0.878 0.000
Cd 0.622 0.122 0.000
Cd 0.878 0.622 0.000
Rh 0.176 0.676 0.500
Rh 0.324 0.176 0.500
Rh 0.676 0.824 0.500
Rh 0.824 0.324 0.500

Values from the calculation:
Excess energy over the best structure of this formula in the dataset = 2.931 kcal/mol of atoms
Symmetry = No. 127
Calculated formation energy = -1.28 eV/f.u.
Total moment = 0.0 μB per formula unit
Fermi-level density of states = 3.44 states/eV per cell



Record 6
A plane-wave DFT calculation with PBE was carried out for BaLi2ZnRh after structural relaxation.

a = 4.879 Å, b = 4.879 Å, c = 4.993 Å
α = 90.00°, β = 90.00°, γ = 90.00°
Atoms (fractional coordinates):
Ba 0.000 0.000 0.000
Li 0.000 0.500 0.500
Li 0.500 0.000 0.500
Zn 0.500 0.500 0.000
Rh 0.500 0.500 0.500

Values from the calculation:
Symmetry = No. 123
Calculated formation energy = -0.58 eV/f.u.
Total moment = 0.0 μB per formula unit
Fermi-level density of states = 3.07 states/eV per cell